A plane-wave DFT calculation with GGA-PBE was carried out for an optimized crystal structure of NbHRu3.

Unit cell a=7.1248 b=7.1248 c=5.5858 alpha=101.54 beta=101.54 gamma=72.86
Sites, in units of the cell vectors:
Nb1 0.0681 0.9319 0.7500
Nb2 0.2901 0.7099 0.2500
Nb3 0.7099 0.2901 0.7500
Nb4 0.9319 0.0681 0.2500
H1 0.2292 0.6088 0.8622
H2 0.3912 0.7708 0.6378
H3 0.6088 0.2292 0.3622
H4 0.7708 0.3912 0.1378
Ru1 0.0307 0.3338 0.0852
Ru2 0.0380 0.3426 0.5980
Ru3 0.3338 0.0307 0.5852
Ru4 0.3426 0.0380 0.0980
Ru5 0.3588 0.3684 0.4290
Ru6 0.3684 0.3588 0.9290
Ru7 0.6316 0.6412 0.0710
Ru8 0.6412 0.6316 0.5710
Ru9 0.6574 0.9620 0.9020
Ru10 0.6662 0.9693 0.4148
Ru11 0.9620 0.6574 0.4020
Ru12 0.9693 0.6662 0.9148

Computed properties:
ρ: 10.050 g/cm3
Space group: C2/c
Energy above the lowest structure with this stoichiometry: 0.276 eV per atom
Magnetization: 0.0 μB/cell

A plane-wave DFT calculation with GGA-PBE was carried out for an optimized crystal structure of NbSbHRu2.

Unit cell a=4.1179 b=4.1179 c=4.0281 alpha=90.00 beta=90.00 gamma=90.00
Sites, in units of the cell vectors:
Nb1 0.0000 0.0000 0.0000
Sb1 0.5000 0.5000 0.0000
H1 0.0000 0.0000 0.5000
Ru1 0.0000 0.5000 0.5000
Ru2 0.5000 0.0000 0.5000

Computed properties:
Energy: -0.265 hartree per atom
ρ: 10.157 g/cm3
Space group: P4/mmm
Magnetization: 0.0 μB/cell

A plane-wave DFT calculation with GGA-PBE was carried out for an optimized crystal structure of Nb2SbHRu.

Unit cell a=4.0843 b=4.0843 c=4.3460 alpha=90.00 beta=90.00 gamma=90.00
Sites, in units of the cell vectors:
Nb1 0.0000 0.5000 0.0000
Nb2 0.5000 0.0000 0.0000
Sb1 0.0000 0.0000 0.5000
H1 0.5000 0.5000 0.0000
Ru1 0.5000 0.5000 0.5000

Computed properties:
Energy: -0.275 hartree per atom
ρ: 9.383 g/cm3
Space group: P4/mmm
Magnetization: 0.0 μB/cell

A plane-wave DFT calculation with GGA-PBE was carried out for an optimized crystal structure of NbSnHRu2.

Unit cell a=4.1696 b=4.1696 c=3.9288 alpha=90.00 beta=90.00 gamma=90.00
Sites, in units of the cell vectors:
Nb1 0.0000 0.0000 0.0000
Sn1 0.5000 0.5000 0.0000
H1 0.0000 0.0000 0.5000
Ru1 0.0000 0.5000 0.5000
Ru2 0.5000 0.0000 0.5000

Computed properties:
Energy: -0.266 hartree per atom
ρ: 10.083 g/cm3
Space group: P4/mmm
Magnetization: 0.0 μB/cell